Entry 1:
DFT (PBE) results for a relaxed structure of Rb4Tl4Zn.

a b c (Å): 7.6027 7.6027 15.3746
angles (deg): 90.00 90.00 90.00
With the nearest neighbours (Å) after each atom.
Space group I-42m (No. 121)
Symmetry-distinct sites (fractional):
Rb: 0.1919 0.1919 0.1273 (multiplicity 8)  6 Tl 3.75-4.20, 1 Zn 3.85, 1 Rb 4.13
Tl: 0.1739 0.1739 0.3710 (multiplicity 8)  1 Zn 2.73
Zn: 0.0000 0.0000 0.5000 (multiplicity 2)  4 Tl 2.73

Computed properties:
The formation energy is 0.68 eV/f.u. As for the crystal system: tetragonal.

=====

Entry 2:
DFT (PBE) results for a relaxed structure of Y2TlTcB.

a b c (Å): 5.1254 5.1254 4.0848
angles (deg): 90.00 90.00 90.00
With the nearest neighbours (Å) after each atom.
Space group P4/mmm (No. 123)
Symmetry-distinct sites (fractional):
Y: 0.0000 0.5000 0.0000 (multiplicity 2)  2 B 2.56
Tl: 0.0000 0.0000 0.5000 (multiplicity 1)  8 Y 3.28, 4 Tc 3.62
Tc: 0.5000 0.5000 0.5000 (multiplicity 1)  2 B 2.04
B: 0.5000 0.5000 0.0000 (multiplicity 1)  2 Tc 2.04

Computed properties:
The formation energy is -1.17 eV/f.u. As for the crystal system: tetragonal.

=====

Entry 3:
DFT (PBE) results for a relaxed structure of NaMg2Tl2In.

a b c (Å): 4.5697 10.0677 6.7510
angles (deg): 90.00 90.00 90.00
With the nearest neighbours (Å) after each atom.
Space group Pmc2_1 (No. 26)
Symmetry-distinct sites (fractional):
Na: 0.0000 0.0152 0.0000 (multiplicity 2)  5 Tl 3.29-3.46, 4 In 3.34-3.48, 2 Na 3.39, 1 Mg 3.46
Mg: 0.0000 0.3283 0.4989 (multiplicity 2)  5 Tl 3.15-3.41, 2 In 3.16, 4 Mg 3.32-3.33, 1 Na 3.46
Mg: 0.5000 0.4969 0.2467 (multiplicity 2)  5 Tl 3.17-3.26, 1 In 3.18, 6 Mg 3.32-3.38
Tl: 0.0000 0.3590 0.9955 (multiplicity 2)  7 Mg 3.15-3.41, 2 In 3.33, 2 Tl 3.44, 1 Na 3.46
Tl: 0.5000 0.1736 0.2582 (multiplicity 2)  3 Mg 3.21-3.26, 2 In 3.29-3.47, 4 Na 3.29-3.39, 2 Tl 3.44
In: 0.5000 0.1871 0.7447 (multiplicity 2)  3 Mg 3.16-3.18, 4 Tl 3.29-3.47, 4 Na 3.34-3.48

Computed properties:
The formation energy is -0.32 eV/f.u. As for the crystal system: orthorhombic.

=====

Entry 4:
DFT (PBE) results for a relaxed structure of Ba2LiSb.

a b c (Å): 4.5675 5.3747 12.1540
angles (deg): 90.00 90.00 90.00
With the nearest neighbours (Å) after each atom.
Space group Imm2 (No. 44)
Symmetry-distinct sites (fractional):
Ba: 0.0000 0.0000 0.0000 (multiplicity 2)  2 Li 3.52, 4 Sb 3.58, 2 Ba 3.75
Ba: 0.0000 0.5000 0.2146 (multiplicity 2)  4 Li 3.73, 4 Ba 3.75-4.15, 4 Sb 3.90-3.97
Li: 0.0000 0.5000 0.8134 (multiplicity 2)  2 Sb 2.81
Sb: 0.0000 0.0000 0.4477 (multiplicity 2)  2 Li 2.81

Computed properties:
As for the crystal system: orthorhombic. Its uncorrected formation energy is -0.5518 eV per atom.

=====

Entry 5:
DFT (PBE) results for a relaxed structure of BeGeSbW.

a b c (Å): 3.5588 3.5588 20.3037
angles (deg): 90.00 90.00 120.00
With the nearest neighbours (Å) after each atom.
Space group R3m (No. 160, hexagonal axes)
Symmetry-distinct sites (fractional):
Be: 0.0000 0.0000 0.0000 (multiplicity 3)  3 Ge 2.26, 1 Sb 2.38, 1 W 2.53
Ge: 0.0000 0.0000 0.2867 (multiplicity 3)  3 Be 2.26
Sb: 0.0000 0.0000 0.1171 (multiplicity 3)  1 Be 2.38
W: 0.0000 0.0000 0.8755 (multiplicity 3)  1 Be 2.53, 3 Ge 2.59, 3 Sb 2.77

Computed properties:
As for the crystal system: trigonal. Its uncorrected formation energy is 0.3245 eV per atom. The value obtained for the relative energy among the computed polymorphs is 0.102 eV per atom.

=====

Entry 6:
DFT (PBE) results for a relaxed structure of Zr3Ga2Ni9.

a b c (Å): 3.5282 9.8366 11.2420
angles (deg): 90.00 90.00 90.00
With the nearest neighbours (Å) after each atom.
Space group Immm (No. 71)
Symmetry-distinct sites (fractional):
Zr: 0.0000 0.0000 0.0000 (multiplicity 2)  8 Ni 2.62
Zr: 0.0000 0.0000 0.2915 (multiplicity 4)  10 Ni 2.75-2.93, 2 Ga 2.96
Ga: 0.0000 0.1832 0.5000 (multiplicity 4)  8 Ni 2.44-2.57
Ni: 0.0000 0.2915 0.1646 (multiplicity 8)  3 Ni 2.40-2.45, 2 Ga 2.57
Ni: 0.0000 0.3773 0.3646 (multiplicity 8)  4 Ni 2.40-2.45, 1 Ga 2.44, 2 Zr 2.62
Ni: 0.0000 0.5000 0.0000 (multiplicity 2)  4 Ga 2.52, 4 Ni 2.76

Computed properties:
The formation energy is -5.12 eV/f.u. As for the crystal system: orthorhombic.

=====

Entry 7:
DFT (PBE) results for a relaxed structure of Nd2Zn2Hg.

a b c (Å): 10.9065 4.6765 10.8972
angles (deg): 90.00 116.53 90.00
With the nearest neighbours (Å) after each atom.
Space group C2/m (No. 12)
Symmetry-distinct sites (fractional):
Nd: 0.0262 0.0000 0.3340 (multiplicity 4)  4 Hg 3.20-3.33, 7 Zn 3.23-3.40
Nd: 0.1957 0.0000 0.1045 (multiplicity 4)  6 Zn 3.08-3.33, 2 Hg 3.39
Zn: 0.0198 0.5000 0.8917 (multiplicity 4)  1 Zn 2.58, 1 Hg 2.79
Zn: 0.1297 0.5000 0.5632 (multiplicity 4)  1 Zn 2.53, 2 Hg 2.73
Hg: 0.2307 0.5000 0.3428 (multiplicity 4)  3 Zn 2.73-2.79

Computed properties:
The formation energy is -1.66 eV/f.u. As for the crystal system: monoclinic.

=====

Entry 8:
DFT (PBE) results for a relaxed structure of Pr2SmAg2Ge2.

a b c (Å): 4.5921 4.5921 28.8252
angles (deg): 90.00 90.00 120.00
With the nearest neighbours (Å) after each atom.
Space group R-3m (No. 166, hexagonal axes)
Symmetry-distinct sites (fractional):
Pr: 0.0000 0.0000 0.1258 (multiplicity 6)  3 Ge 3.12, 3 Ag 3.24
Sm: 0.0000 0.0000 0.0000 (multiplicity 3)  6 Ag 3.18, 6 Ge 3.31
Ag: 0.0000 0.0000 0.3945 (multiplicity 6)  3 Ge 2.66
Ge: 0.0000 0.0000 0.2645 (multiplicity 6)  3 Ag 2.66

Computed properties:
The formation energy is -3.00 eV/f.u. As for the crystal system: trigonal.

=====

no.,E (eV per cell)
1,-27.9
2,-33.5
3,-24.6
4,-24.2
5,-72.4
6,-177.7
7,-56.2
8,-96.6